First-principles (PBE) data for an optimized crystal structure of Cu5Ag3, as listed in OQMD.

```
Cu5Ag3
1.0
2.7491 0.0000 0.0000
0.0000 3.7172 0.0000
0.0000 0.0000 11.0265
Cu Ag
5 3
direct
0.0000 0.0000 0.0000
0.0000 0.0000 0.2579
0.0000 0.0000 0.7421
0.5000 0.5000 0.3713
0.5000 0.5000 0.6287
0.0000 0.0000 0.5000
0.5000 0.5000 0.1297
0.5000 0.5000 0.8703
```

energy of formation from the pure elements	0.10	eV/atom
total DFT energy (no corrections)	-3.286	eV/atom
calculated volume	14.1	Å³/atom

---

First-principles (PBE) data for an optimized crystal structure of Cu3Ag5, as listed in OQMD.

```
Cu3Ag5
1.0
12.0881 0.0000 0.0000
0.0000 2.8185 0.0000
-5.8042 0.0000 7.3531
Cu Ag
6 10
direct
0.0000 0.0000 0.0000
0.1327 0.0000 0.3861
0.3673 0.5000 0.6139
0.5000 0.5000 0.0000
0.6327 0.5000 0.3861
0.8673 0.0000 0.6139
0.0000 0.5000 0.5000
0.1132 0.5000 0.8701
0.2378 0.5000 0.2483
0.2622 0.0000 0.7517
0.3868 0.0000 0.1299
0.5000 0.0000 0.5000
0.6132 0.0000 0.8701
0.7378 0.0000 0.2483
0.7622 0.5000 0.7517
0.8868 0.5000 0.1299
```

energy of formation from the pure elements	0.08	eV/atom
total DFT energy (no corrections)	-3.082	eV/atom
calculated volume	15.7	Å³/atom

---

First-principles (PBE) data for an optimized crystal structure of Cu7Ag2, as listed in OQMD.

```
Cu7Ag2
1.0
-1.3531 1.3531 16.2091
1.3531 -1.3531 16.2091
1.3531 1.3531 -16.2091
Cu Ag
7 2
direct
0.0000 0.0000 0.0000
0.1021 0.1021 0.0000
0.2246 0.2246 0.0000
0.4489 0.4489 0.0000
0.5511 0.5511 0.0000
0.7754 0.7754 0.0000
0.8979 0.8979 0.0000
0.3365 0.3365 0.0000
0.6635 0.6635 0.0000
```

energy of formation from the pure elements	0.06	eV/atom
total DFT energy (no corrections)	-3.458	eV/atom
calculated volume	13.2	Å³/atom

---

First-principles (PBE) data for an optimized crystal structure of Cu5Ag3, as listed in OQMD.

```
Cu5Ag3
1.0
8.6887 0.0000 0.0000
0.0000 3.7715 0.0000
-3.1958 0.0000 6.9169
Cu Ag
10 6
direct
0.0000 0.0000 0.0000
0.0067 0.5000 0.7776
0.2501 0.0000 0.8921
0.2499 0.5000 0.1079
0.4933 0.0000 0.2224
0.5000 0.5000 0.0000
0.5067 0.0000 0.7776
0.7499 0.0000 0.1079
0.7501 0.5000 0.8921
0.9933 0.5000 0.2224
0.0000 0.0000 0.5000
0.2438 0.0000 0.3532
0.2562 0.5000 0.6468
0.5000 0.5000 0.5000
0.7438 0.5000 0.3532
0.7562 0.0000 0.6468
```

energy of formation from the pure elements	0.08	eV/atom
total DFT energy (no corrections)	-3.299	eV/atom
calculated volume	14.2	Å³/atom

---

First-principles (PBE) data for an optimized crystal structure of CuAg, as listed in OQMD.

```
CuAg
1.0
4.7130 0.0000 0.0000
0.0181 8.4381 0.0000
2.2749 1.5456 17.9980
Cu Ag
24 24
direct
0.0000 0.0000 0.0000
0.0004 0.2885 0.0001
0.0102 0.2082 0.6317
0.1219 0.3313 0.7518
0.1247 0.0417 0.7500
0.2283 0.1656 0.8757
0.2568 0.0600 0.4928
0.2794 0.9788 0.1246
0.2798 0.2671 0.1247
0.3758 0.1012 0.2490
0.4723 0.9351 0.3726
0.4773 0.2248 0.3739
0.5001 0.1442 0.0001
0.5185 0.0603 0.6222
0.5308 0.3508 0.6292
0.6204 0.1877 0.7520
0.7200 0.3103 0.8756
0.7210 0.0215 0.8755
0.7432 0.9175 0.4965
0.7600 0.2073 0.5044
0.7718 0.1231 0.1247
0.8753 0.9570 0.2496
0.8758 0.2460 0.2502
0.9799 0.0789 0.3736
0.0001 0.6443 0.0001
0.0349 0.9018 0.6212
0.0520 0.5252 0.6275
0.1242 0.6928 0.7498
0.1962 0.4773 0.8750
0.1974 0.8552 0.8752
0.2538 0.7429 0.4972
0.2645 0.3645 0.5029
0.3074 0.6230 0.1249
0.3745 0.7907 0.2499
0.3753 0.4104 0.2496
0.4489 0.5756 0.3750
0.5002 0.4537 0.0000
0.5003 0.8348 0.0000
0.5484 0.7180 0.6230
0.6221 0.5001 0.7500
0.6248 0.8797 0.7499
0.6932 0.6661 0.8751
0.7548 0.5489 0.5027
0.8035 0.8120 0.1251
0.8040 0.4337 0.1250
0.8758 0.5996 0.2502
0.9459 0.7659 0.3751
0.9547 0.3885 0.3766
```

energy of formation from the pure elements	0.08	eV/atom
total DFT energy (no corrections)	-3.186	eV/atom
calculated volume	14.9	Å³/atom

---

First-principles (PBE) data for an optimized crystal structure of CuAg, as listed in OQMD.

```
CuAg
1.0
9.5350 -1.3977 0.0000
9.5350 1.3977 0.0000
-0.8242 0.0000 5.5390
Cu Ag
5 5
direct
0.0000 0.0000 0.0000
0.9999 0.9999 0.4548
0.5918 0.5918 0.2732
0.7992 0.7992 0.8717
0.8003 0.8003 0.3833
0.1994 0.1994 0.5734
0.2001 0.2001 0.0811
0.3962 0.3962 0.1750
0.4036 0.4036 0.6795
0.5889 0.5889 0.7720
```

energy of formation from the pure elements	0.09	eV/atom
total DFT energy (no corrections)	-3.177	eV/atom
calculated volume	14.8	Å³/atom

---

First-principles (PBE) data for an optimized crystal structure of CuAg, as listed in OQMD.

```
CuAg
1.0
6.7358 0.0000 0.0000
0.0000 2.8158 0.0000
-2.0867 0.0000 7.9306
Cu Ag
5 5
direct
0.0000 0.0000 0.0000
0.0900 0.5000 0.3004
0.1994 0.0000 0.5668
0.4906 0.5000 0.4883
0.8017 0.0000 0.3906
0.2854 0.5000 0.8864
0.3882 0.0000 0.2048
0.5928 0.0000 0.7794
0.7109 0.5000 0.0989
0.9014 0.5000 0.6758
```

energy of formation from the pure elements	0.10	eV/atom
total DFT energy (no corrections)	-3.175	eV/atom
calculated volume	15.0	Å³/atom

---

First-principles (PBE) data for an optimized crystal structure of CuAg, as listed in OQMD.

```
CuAg
1.0
2.4297 -6.8883 0.0000
2.4297 6.8883 0.0000
-1.7130 0.0000 4.4809
Cu Ag
5 5
direct
0.0000 0.0000 0.0000
0.0982 0.9018 0.5000
0.2932 0.7068 0.5000
0.7068 0.2932 0.5000
0.9018 0.0982 0.5000
0.1952 0.8048 0.0000
0.3988 0.6012 0.0000
0.5000 0.5000 0.5000
0.6012 0.3988 0.0000
0.8048 0.1952 0.0000
```

energy of formation from the pure elements	0.11	eV/atom
total DFT energy (no corrections)	-3.159	eV/atom
calculated volume	15.0	Å³/atom

---

First-principles (PBE) data for an optimized crystal structure of Cu3Ag7, as listed in OQMD.

```
Cu3Ag7
1.0
2.8764 0.0000 0.0000
0.0000 3.9418 0.0000
0.0000 0.0000 14.3741
Cu Ag
3 7
direct
0.0000 0.0000 0.0000
0.0000 0.0000 0.1888
0.5000 0.5000 0.6988
0.0000 0.0000 0.3910
0.0000 0.0000 0.6038
0.0000 0.0000 0.7964
0.5000 0.5000 0.0936
0.5000 0.5000 0.2858
0.5000 0.5000 0.4990
0.5000 0.5000 0.9010
```

energy of formation from the pure elements	0.08	eV/atom
total DFT energy (no corrections)	-3.015	eV/atom
calculated volume	16.3	Å³/atom

---

First-principles (PBE) data for an optimized crystal structure of Cu4Ag5, as listed in OQMD.

```
Cu4Ag5
1.0
4.4362 -1.9559 0.0000
4.4362 1.9559 0.0000
-2.6543 0.0000 7.9344
Cu Ag
4 5
direct
0.1672 0.1672 0.0557
0.1705 0.1705 0.3907
0.8295 0.8295 0.6093
0.8328 0.8328 0.9443
0.1736 0.1736 0.7248
0.4967 0.4967 0.1622
0.5000 0.5000 0.5000
0.5033 0.5033 0.8378
0.8264 0.8264 0.2752
```

energy of formation from the pure elements	0.10	eV/atom
total DFT energy (no corrections)	-3.121	eV/atom
calculated volume	15.3	Å³/atom

---

First-principles (PBE) data for an optimized crystal structure of Cu3Ag2, as listed in OQMD.

```
Cu3Ag2
1.0
2.7616 0.0000 0.0000
0.0000 3.6835 0.0000
0.0000 0.0000 14.0165
Cu Ag
6 4
direct
0.0000 0.0000 0.0000
0.0000 0.0000 0.1755
0.0000 0.0000 0.8245
0.5000 0.5000 0.0882
0.5000 0.5000 0.5000
0.5000 0.5000 0.9118
0.0000 0.0000 0.3979
0.0000 0.0000 0.6021
0.5000 0.5000 0.2782
0.5000 0.5000 0.7218
```

energy of formation from the pure elements	0.08	eV/atom
total DFT energy (no corrections)	-3.279	eV/atom
calculated volume	14.3	Å³/atom

---

First-principles (PBE) data for an optimized crystal structure of CuAg, as listed in OQMD.

```
CuAg
1.0
5.6407 0.0000 0.0000
0.0000 2.8218 0.0000
-0.0693 0.0000 7.5143
Cu Ag
4 4
direct
0.0000 0.0000 0.0000
0.0118 0.0000 0.5202
0.5351 0.0000 0.9961
0.7755 0.5000 0.7719
0.2575 0.5000 0.7728
0.2663 0.5000 0.2458
0.5291 0.0000 0.5223
0.7738 0.5000 0.2510
```

energy of formation from the pure elements	0.09	eV/atom
total DFT energy (no corrections)	-3.177	eV/atom
calculated volume	15.0	Å³/atom

---

First-principles (PBE) data for an optimized crystal structure of CuAg, as listed in OQMD.

```
CuAg
1.0
2.7824 0.0000 0.0000
0.0000 3.8003 0.0000
0.0000 0.0000 13.9507
Cu Ag
5 5
direct
0.0000 0.0000 0.0000
0.0000 0.0000 0.1963
0.5000 0.5000 0.2857
0.5000 0.5000 0.7122
0.5000 0.5000 0.9099
0.0000 0.0000 0.3843
0.0000 0.0000 0.6119
0.0000 0.0000 0.8122
0.5000 0.5000 0.0980
0.5000 0.5000 0.4982
```

energy of formation from the pure elements	0.10	eV/atom
total DFT energy (no corrections)	-3.175	eV/atom
calculated volume	14.8	Å³/atom

---

First-principles (PBE) data for an optimized crystal structure of CuAg, as listed in OQMD.

```
CuAg
1.0
11.5211 -1.4331 0.0000
11.5211 1.4331 0.0000
-0.8790 0.0000 4.5085
Cu Ag
5 5
direct
0.0000 0.0000 0.0000
0.2931 0.2931 0.4731
0.4087 0.4087 0.0322
0.5913 0.5913 0.9678
0.7069 0.7069 0.5269
0.1064 0.1064 0.4717
0.1945 0.1945 0.0190
0.5000 0.5000 0.5000
0.8055 0.8055 0.9810
0.8936 0.8936 0.5283
```

energy of formation from the pure elements	0.09	eV/atom
total DFT energy (no corrections)	-3.181	eV/atom
calculated volume	14.9	Å³/atom

---

First-principles (PBE) data for an optimized crystal structure of Cu5Ag3, as listed in OQMD.

```
Cu5Ag3
1.0
9.1098 0.0000 0.0000
0.0000 2.7817 0.0000
-2.3019 0.0000 8.9265
Cu Ag
10 6
direct
0.0000 0.0000 0.0000
0.0115 0.0000 0.5331
0.0236 0.5000 0.7769
0.2615 0.0000 0.8898
0.2807 0.0000 0.4003
0.5000 0.5000 0.0000
0.5115 0.5000 0.5331
0.5236 0.0000 0.7769
0.7615 0.5000 0.8898
0.7807 0.5000 0.4003
0.0245 0.5000 0.2812
0.2559 0.5000 0.1336
0.2669 0.5000 0.6457
0.5245 0.0000 0.2812
0.7559 0.0000 0.1336
0.7669 0.0000 0.6457
```

energy of formation from the pure elements	0.09	eV/atom
total DFT energy (no corrections)	-3.290	eV/atom
calculated volume	14.1	Å³/atom

---

First-principles (PBE) data for an optimized crystal structure of Cu3Ag2, as listed in OQMD.

```
Cu3Ag2
1.0
4.3302 -1.9196 0.0000
4.3302 1.9196 0.0000
-0.0512 0.0000 8.6095
Cu Ag
6 4
direct
0.0000 0.0000 0.0000
0.1985 0.1985 0.4012
0.5002 0.5002 0.4924
0.5962 0.5962 0.1991
0.6933 0.6933 0.9029
0.7925 0.7925 0.5907
0.0973 0.0973 0.6901
0.2910 0.2910 0.0992
0.3963 0.3963 0.7973
0.9021 0.9021 0.3050
```

energy of formation from the pure elements	0.10	eV/atom
total DFT energy (no corrections)	-3.259	eV/atom
calculated volume	14.3	Å³/atom

---

First-principles (PBE) data for an optimized crystal structure of CuAg, as listed in OQMD.

```
CuAg
1.0
11.9277 0.0000 0.0000
0.0000 2.7711 0.0000
-5.6666 0.0000 7.1779
Cu Ag
8 8
direct
0.0000 0.0000 0.0000
0.0174 0.5000 0.5117
0.2648 0.0000 0.7592
0.3893 0.0000 0.1200
0.5000 0.5000 0.0000
0.5174 0.0000 0.5117
0.7648 0.5000 0.7592
0.8893 0.5000 0.1200
0.1238 0.0000 0.3736
0.1445 0.5000 0.8813
0.2676 0.5000 0.2533
0.3863 0.5000 0.6340
0.6238 0.5000 0.3736
0.6445 0.0000 0.8813
0.7676 0.0000 0.2533
0.8863 0.0000 0.6340
```

energy of formation from the pure elements	0.10	eV/atom
total DFT energy (no corrections)	-3.171	eV/atom
calculated volume	14.8	Å³/atom

---

First-principles (PBE) data for an optimized crystal structure of CuAg, as listed in OQMD.

```
CuAg
1.0
7.3733 -1.8284 0.0000
7.3733 1.8284 0.0000
-1.0790 0.0000 5.5573
Cu Ag
5 5
direct
0.0000 0.0000 0.0000
0.0001 0.0001 0.4662
0.4099 0.4099 0.6881
0.4159 0.4159 0.1913
0.5902 0.5902 0.2779
0.1969 0.1969 0.0863
0.1972 0.1972 0.5762
0.5886 0.5886 0.7771
0.8142 0.8142 0.8914
0.8146 0.8146 0.3895
```

energy of formation from the pure elements	0.08	eV/atom
total DFT energy (no corrections)	-3.186	eV/atom
calculated volume	15.0	Å³/atom

---

First-principles (PBE) data for an optimized crystal structure of CuAg2, as listed in OQMD.

```
CuAg2
1.0
4.8913 0.0000 0.0000
0.0000 2.8567 0.0000
-0.1131 0.0000 6.8831
Cu Ag
2 4
direct
0.1652 0.0000 0.3332
0.8348 0.0000 0.6668
0.0000 0.5000 0.0000
0.3208 0.5000 0.6546
0.5000 0.0000 0.0000
0.6792 0.5000 0.3454
```

energy of formation from the pure elements	0.09	eV/atom
total DFT energy (no corrections)	-3.036	eV/atom
calculated volume	16.0	Å³/atom

---

First-principles (PBE) data for an optimized crystal structure of Cu3Ag5, as listed in OQMD.

```
Cu3Ag5
1.0
4.9157 0.0000 0.0000
0.0000 2.8458 0.0000
-1.6736 0.0000 9.0432
Cu Ag
3 5
direct
0.0000 0.0000 0.0000
0.2203 0.5000 0.2231
0.7645 0.0000 0.2294
0.2472 0.0000 0.7381
0.4894 0.0000 0.4640
0.4984 0.5000 0.0012
0.7530 0.5000 0.7450
0.9910 0.5000 0.4722
```

energy of formation from the pure elements	0.09	eV/atom
total DFT energy (no corrections)	-3.072	eV/atom
calculated volume	15.8	Å³/atom